Below is CeCo4Pt after structural relaxation, with properties calculated at the PBE level.

Computed properties:
Size of the total moment, μB/f.u.: 5.664
Space-group type: F-43m (216)
Formation energy, eV per atom: -0.193

Cell: 4.946 4.946 4.946 Å, 60.00 60.00 60.00°
Positions (direct):
Ce 0.000 0.000 0.000
Co 0.377 0.377 0.377
Co 0.377 0.377 0.869
Co 0.377 0.869 0.377
Co 0.869 0.377 0.377
Pt 0.750 0.750 0.750